An optimized crystal structure of Ce4NdY3S8. Source: Alexandria, functional PBE.

## Properties
Uncorrected energy ... -7.0872 eV per atom
Spin magnetization ... 2.903 μB/f.u.
Energy relative to the elements, uncorrected ... -2.03 eV per atom

Cell: 8.003 8.003 8.003 Å, 59.69 59.69 59.69°
Fractional coordinates of all 16 atoms:
Ce  0.000  0.000  0.000
Ce  0.000  0.500  0.500
Ce  0.500  0.000  0.500
Ce  0.500  0.500  0.000
Nd  0.500  0.500  0.500
Y  0.000  0.000  0.500
Y  0.000  0.500  0.000
Y  0.500  0.000  0.000
S  0.241  0.751  0.751
S  0.246  0.246  0.246
S  0.249  0.249  0.759
S  0.249  0.759  0.249
S  0.751  0.241  0.751
S  0.751  0.751  0.241
S  0.754  0.754  0.754
S  0.759  0.249  0.249